VASP calculation (PBE) on a relaxed structure of Hf2Te2H3.

* symmetry: No. 2
* DFT total energy: -5.589 eV/atom
* magnetic moment: 0.0 μB/f.u.

```
7
Lattice="-2.228 0.732 -2.772 -1.874 -4.937 2.570 -1.626 5.382 2.733" Properties=species:S:1:pos:R:3 pbc="T T T"
Hf -1.232 1.139 1.294
Te -3.160 3.404 1.063
H 0.000 0.000 0.000
Hf -4.496 0.037 1.237
H -2.873 0.515 0.064
Te -2.568 -2.227 1.467
H -2.855 0.661 2.467
```